Entry from the Alexandria database: a geometry-optimized Pr3Er7Sc2 structure (PBE).

- ΔE_f: 0.134 eV per atom
- Space group: No. 65
- Volume: 375 Å³/cell

Lattice parameters (Å, degrees): 19.036 19.036 3.522 90.00 90.00 162.91
Positions (direct):
1 Pr 0.500 0.500 0.500
2 Pr 0.183 0.817 0.000
3 Pr 0.817 0.183 0.000
4 Er 0.729 0.271 0.500
5 Er 0.271 0.729 0.500
6 Er 0.574 0.426 0.000
7 Er 0.000 0.000 0.000
8 Er 0.426 0.574 0.000
9 Er 0.907 0.093 0.500
10 Er 0.093 0.907 0.500
11 Sc 0.646 0.354 0.500
12 Sc 0.354 0.646 0.500

=====

Entry from the Alexandria database: a geometry-optimized PrErSc structure (PBE).

- ΔE_f: 0.057 eV per atom
- Space group: No. 107
- Volume: 91 Å³/cell
- Energy above the most stable polymorph in this dataset: 0.0 meV/atom

Lattice parameters (Å, degrees): 3.524 3.524 7.735 103.17 103.17 90.00
Positions (direct):
1 Pr 0.005 0.005 0.009
2 Sc 0.669 0.669 0.338
3 Er 0.326 0.326 0.652

=====

Entry from the Alexandria database: a geometry-optimized Pr5ErSc2 structure (PBE).

- ΔE_f: 0.143 eV per atom
- Space group: No. 140
- Volume: 527 Å³/cell

Lattice parameters (Å, degrees): 9.121 9.121 9.043 120.29 120.29 90.00
Positions (direct):
1 Pr 0.490 0.690 0.680
2 Pr 0.810 0.010 0.320
3 Pr 0.000 0.000 0.000
4 Pr 0.500 0.500 0.000
5 Pr 0.190 0.990 0.680
6 Pr 0.690 0.190 0.680
7 Pr 0.990 0.490 0.680
8 Pr 0.310 0.810 0.320
9 Pr 0.010 0.510 0.320
10 Pr 0.510 0.310 0.320
11 Er 0.750 0.750 0.500
12 Er 0.250 0.250 0.500
13 Sc 0.146 0.354 0.000
14 Sc 0.646 0.146 0.000
15 Sc 0.354 0.854 0.000
16 Sc 0.854 0.646 0.000

=====

Entry from the Alexandria database: a geometry-optimized Pr5Er2Sc2 structure (PBE).

- ΔE_f: 0.255 eV per atom
- Space group: No. 74
- Volume: 594 Å³/cell
- Energy above the most stable polymorph in this dataset: 142.7 meV/atom

Lattice parameters (Å, degrees): 10.203 7.044 10.328 109.94 119.60 90.00
Positions (direct):
1 Pr 0.162 0.699 0.823
2 Pr 0.838 0.876 0.177
3 Pr 0.162 0.199 0.823
4 Pr 0.838 0.376 0.177
5 Pr 0.398 0.935 0.296
6 Pr 0.602 0.640 0.704
7 Pr 0.398 0.435 0.296
8 Pr 0.602 0.140 0.704
9 Pr 0.174 0.787 0.500
10 Pr 0.826 0.287 0.500
11 Er 0.000 0.037 0.000
12 Er 0.500 0.537 0.000
13 Er 0.216 0.287 0.500
14 Er 0.784 0.787 0.500
15 Sc 0.108 0.616 0.157
16 Sc 0.892 0.459 0.843
17 Sc 0.549 0.116 0.157
18 Sc 0.451 0.959 0.843

=====

Entry from the Alexandria database: a geometry-optimized PrEr6Sc6 structure (PBE).

- ΔE_f: 0.202 eV per atom
- Space group: No. 10
- Volume: 381 Å³/cell

Lattice parameters (Å, degrees): 6.308 6.304 10.645 90.00 90.00 115.97
Positions (direct):
1 Pr 0.000 0.000 0.000
2 Er 0.000 0.000 0.662
3 Er 0.000 0.000 0.338
4 Er 0.353 0.650 0.000
5 Er 0.647 0.350 0.000
6 Er 0.284 0.716 0.500
7 Er 0.716 0.284 0.500
8 Sc 0.000 0.500 0.772
9 Sc 0.500 0.000 0.771
10 Sc 0.500 0.500 0.713
11 Sc 0.500 0.000 0.229
12 Sc 0.000 0.500 0.228
13 Sc 0.500 0.500 0.287

=====

Entry from the Alexandria database: a geometry-optimized Pr2ErSc2 structure (PBE).

- ΔE_f: 0.341 eV per atom
- Space group: No. 15
- Volume: 326 Å³/cell
- Energy above the most stable polymorph in this dataset: 292.3 meV/atom

Lattice parameters (Å, degrees): 8.735 8.735 5.793 117.31 117.31 94.00
Positions (direct):
1 Pr 0.771 0.598 0.497
2 Pr 0.402 0.229 0.003
3 Pr 0.598 0.771 0.997
4 Pr 0.229 0.402 0.503
5 Er 0.067 0.933 0.250
6 Er 0.933 0.067 0.750
7 Sc 0.328 0.672 0.250
8 Sc 0.807 0.193 0.250
9 Sc 0.193 0.807 0.750
10 Sc 0.672 0.328 0.750

=====

Entry from the Alexandria database: a geometry-optimized Pr8Er3Sc2 structure (PBE).

- ΔE_f: 0.209 eV per atom
- Space group: No. 12
- Volume: 445 Å³/cell
- Energy above the most stable polymorph in this dataset: 44.2 meV/atom

Lattice parameters (Å, degrees): 5.725 7.831 10.671 111.53 90.02 90.00
Positions (direct):
1 Pr 0.001 0.680 0.360
2 Pr 0.999 0.320 0.640
3 Pr 0.000 0.131 0.261
4 Pr 0.000 0.869 0.739
5 Pr 0.500 0.593 0.780
6 Pr 0.500 0.187 0.780
7 Pr 0.500 0.813 0.220
8 Pr 0.500 0.407 0.220
9 Er 0.500 0.000 0.000
10 Er 0.000 0.288 0.000
11 Er 0.000 0.712 0.000
12 Sc 0.499 0.239 0.477
13 Sc 0.501 0.761 0.523

=====

Entry from the Alexandria database: a geometry-optimized Pr2Er9Sc structure (PBE).

- ΔE_f: 0.036 eV per atom
- Space group: No. 123
- Volume: 371 Å³/cell

Lattice parameters (Å, degrees): 4.989 4.989 14.922 90.00 90.00 90.00
Positions (direct):
1 Pr 0.000 0.000 0.332
2 Pr 0.000 0.000 0.668
3 Er 0.500 0.500 0.000
4 Er 0.500 0.500 0.329
5 Er 0.500 0.500 0.671
6 Er 0.500 0.000 0.160
7 Er 0.500 0.000 0.500
8 Er 0.500 0.000 0.840
9 Er 0.000 0.500 0.160
10 Er 0.000 0.500 0.500
11 Er 0.000 0.500 0.840
12 Sc 0.000 0.000 0.000

=====

Copy entry 3 word for word.
Entry from the Alexandria database: a geometry-optimized Pr5ErSc2 structure (PBE).

- ΔE_f: 0.143 eV per atom
- Space group: No. 140
- Volume: 527 Å³/cell

Lattice parameters (Å, degrees): 9.121 9.121 9.043 120.29 120.29 90.00
Positions (direct):
1 Pr 0.490 0.690 0.680
2 Pr 0.810 0.010 0.320
3 Pr 0.000 0.000 0.000
4 Pr 0.500 0.500 0.000
5 Pr 0.190 0.990 0.680
6 Pr 0.690 0.190 0.680
7 Pr 0.990 0.490 0.680
8 Pr 0.310 0.810 0.320
9 Pr 0.010 0.510 0.320
10 Pr 0.510 0.310 0.320
11 Er 0.750 0.750 0.500
12 Er 0.250 0.250 0.500
13 Sc 0.146 0.354 0.000
14 Sc 0.646 0.146 0.000
15 Sc 0.354 0.854 0.000
16 Sc 0.854 0.646 0.000